Record 1
MnCdW2 | the Alexandria database | PBE | optimized geometry; energy of formation from the pure elements = 0.562 eV/atom; crystal system = cubic; V = 16.40 Å³ per atom
1.0
-1.5818 3.1979 2.7868
-2.4012 -1.1689 3.6555
1.7853 0.4869 4.1317
Cd Mn W
1 1 2
direct
0.5000 0.5000 0.5000
0.7500 0.7500 0.7500
0.0000 0.0000 0.0000
0.2500 0.2500 0.2500

---

Record 2
YThMgAg | the Alexandria database | PBE | optimized geometry; energy of formation from the pure elements = -0.023 eV/atom; crystal system = cubic; V = 26.66 Å³ per atom
1.0
-0.4664 -4.2819 -3.1280
4.2094 -1.7678 -2.7371
2.3441 -4.5747 1.3833
Y Mg Ag Th
1 1 1 1
direct
0.2500 0.2500 0.2500
0.5000 0.5000 0.5000
0.0000 0.0000 0.0000
0.7500 0.7500 0.7500

---

Record 3
CaTaRh2 | the Alexandria database | PBE | optimized geometry; energy of formation from the pure elements = -0.025 eV/atom; crystal system = tetragonal; V = 20.18 Å³ per atom
1.0
-1.6479 5.0257 4.9394
-3.0191 -5.0871 4.1686
0.3793 -0.5042 5.9409
Ca Rh Ta
2 4 2
direct
0.5000 0.5000 0.0000
0.2500 0.7500 0.5000
0.6685 0.1250 0.2500
0.0815 0.6250 0.2500
0.3750 0.3315 0.7500
0.8750 0.9185 0.7500
0.0000 0.0000 0.0000
0.7500 0.2500 0.5000

---

Record 4
ZnGeRuSeO | the Alexandria database | PBE | optimized geometry; E_form (uncorrected) = -575.0 meV per atom; crystal system = monoclinic; energy above the most stable polymorph in this dataset = 0 meV per atom; V = 16.71 Å³ per atom
1.0
3.0463 0.0117 -0.0010
-0.0138 3.5419 0.0263
-1.5207 -0.1784 7.7405
Zn Ge Ru Se O
1 1 1 1 1
direct
0.1716 0.7378 0.1076
0.8638 0.8216 0.4912
0.4360 0.3270 0.6356
0.0610 0.2501 0.8853
0.7449 0.8342 0.2541